# HfTiV2O6

HfTiV2O6 after structural relaxation (GGA+U, Alexandria).

Cell: 5.671 5.671 5.671 Å, 55.32 55.32 55.32°
Fractional coordinates of all 10 atoms:
Hf (0.000, 0.000, 0.000)
Ti (0.499, 0.499, 0.499)
V (0.204, 0.204, 0.204)
V (0.703, 0.703, 0.703)
O (0.136, 0.777, 0.399)
O (0.292, 0.622, 0.889)
O (0.399, 0.136, 0.777)
O (0.622, 0.889, 0.292)
O (0.777, 0.399, 0.136)
O (0.889, 0.292, 0.622)

The calculation puts the uncorrected energy at -8.894 eV per atom. The volume is 115 Å³/cell. The size of the total moment is 6.00 μB/cell.